The following is a GGA-PBE calculation of crystalline CdB3N at its relaxed geometry, from Alexandria via LeMat-Bulk.

Output
ΔE_f (raw)	3.3204	eV per atom
E above lowest polymorph	1358.0	meV/atom
SG	Pm-3m

Unit cell a=4.2756 b=4.2756 c=4.2756 alpha=90.00 beta=90.00 gamma=90.00
With the nearest neighbours (Å) after each atom.
Fractional coordinates of all 5 atoms:
Cd (0.0000, 0.0000, 0.0000)  6 B 2.14
B (0.0000, 0.0000, 0.5000)  2 Cd 2.14
B (0.0000, 0.5000, 0.0000)  2 Cd 2.14
B (0.5000, 0.0000, 0.0000)  2 Cd 2.14
N (0.5000, 0.5000, 0.5000)  12 B 3.02

The following is a GGA-PBE calculation of crystalline CaTh2PaN4 at its relaxed geometry, from Alexandria via LeMat-Bulk.

Output
ΔE_f (raw)	-1.4775	eV per atom
SG	P2/m

Unit cell a=6.1291 b=3.5964 c=6.2633 alpha=90.00 beta=109.03 gamma=90.00
With the nearest neighbours (Å) after each atom.
Fractional coordinates of all 8 atoms:
Ca (0.0000, 0.0000, 0.0000)  6 N 2.51-2.58
Th (0.0000, 0.5000, 0.5000)  6 N 2.66-2.67
Th (0.5000, 0.0000, 0.5000)  6 N 2.52-2.55
Pa (0.5000, 0.5000, 0.0000)  6 N 2.38-2.43
N (0.2706, 0.0000, 0.7737)  2 Pa 2.43, 1 Ca 2.51, 3 Th 2.55-2.66
N (0.2709, 0.5000, 0.2423)  1 Pa 2.38, 2 Th 2.52, 2 Ca 2.58
N (0.7294, 0.0000, 0.2263)  2 Pa 2.43, 1 Ca 2.51, 3 Th 2.55-2.66
N (0.7291, 0.5000, 0.7577)  1 Pa 2.38, 2 Th 2.52, 2 Ca 2.58

Here are the calculated calculated volume numbers, same order: 78; 131 (Å³/cell).
Here are the calculated DFT total energy numbers, same order: -2.534; -8.932 (eV per atom).